{
  "formula": "ZnGa2Co2",
  "functional": "PBE",
  "state": "relaxed",
  "cell": [[6.892, 0.000, 0.000], [0.000, 6.892, 0.000], [0.000, 0.000, 2.742]],
  "species": ["Zn", "Zn", "Ga", "Ga", "Ga", "Ga", "Co", "Co", "Co", "Co"],
  "frac_coords": [[0.000, 0.000, 0.000], [0.500, 0.500, 0.000], [0.139, 0.361, 0.000], [0.361, 0.861, 0.000], [0.639, 0.139, 0.000], [0.861, 0.639, 0.000], [0.158, 0.658, 0.500], [0.342, 0.158, 0.500], [0.658, 0.842, 0.500], [0.842, 0.342, 0.500]],
  "n_ef_per_ev_fu": 2.55,
  "crystal_system": "tetragonal",
  "formation_enthalpy_0k_ev_per_atom": -0.13,
  "magnetic_moment_mub_per_fu": 0.00,
  "final_energy_ev_per_cell": -44.35,
  "polymorph_energy_mev_per_atom": 30.4
}


{
  "formula": "K3U3AlSe8",
  "functional": "PBE",
  "state": "relaxed",
  "cell": [[4.131, 2.385, 7.841], [-4.131, 2.385, 7.841], [0.000, -4.771, 7.841]],
  "species": ["K", "K", "K", "U", "U", "U", "Al", "Se", "Se", "Se", "Se", "Se", "Se", "Se", "Se"],
  "frac_coords": [[0.000, 0.500, 0.500], [0.500, 0.000, 0.500], [0.500, 0.500, 0.000], [0.000, 0.000, 0.500], [0.000, 0.500, 0.000], [0.500, 0.000, 0.000], [0.500, 0.500, 0.500], [0.237, 0.237, 0.237], [0.252, 0.719, 0.719], [0.281, 0.281, 0.748], [0.281, 0.748, 0.281], [0.719, 0.252, 0.719], [0.719, 0.719, 0.252], [0.748, 0.281, 0.281], [0.763, 0.763, 0.763]],
  "n_ef_per_ev_fu": 15.43,
  "crystal_system": "trigonal",
  "formation_energy_uncorrected_ev_per_atom": -1.151,
  "magnetic_moment_mub_per_fu": 7.91,
  "final_energy_ev_per_cell": -86.03
}


{
  "formula": "Sc4Cd2O",
  "functional": "PBE",
  "state": "relaxed",
  "cell": [[-2.215, 2.215, 7.242], [2.215, -2.215, 7.242], [2.215, 2.215, -7.242]],
  "species": ["Sc", "Sc", "Sc", "Sc", "Cd", "Cd", "O"],
  "frac_coords": [[0.000, 0.500, 0.500], [0.166, 0.166, 0.000], [0.500, 0.000, 0.500], [0.834, 0.834, 0.000], [0.365, 0.365, 0.000], [0.635, 0.635, 0.000], [0.000, 0.000, 0.000]],
  "n_ef_per_ev_fu": 3.94,
  "crystal_system": "tetragonal",
  "formation_energy_uncorrected_ev_per_atom": -0.919,
  "magnetic_moment_mub_per_fu": 0.00,
  "final_energy_ev_per_cell": -38.55
}


{
  "formula": "LaCeDy2",
  "functional": "PBE",
  "state": "relaxed",
  "cell": [[5.106, 0.000, 0.000], [0.000, 5.106, 0.000], [0.000, 0.000, 4.982]],
  "species": ["La", "Ce", "Dy", "Dy"],
  "frac_coords": [[0.000, 0.000, 0.000], [0.500, 0.500, 0.000], [0.000, 0.500, 0.500], [0.500, 0.000, 0.500]],
  "n_ef_per_ev_fu": 8.09,
  "crystal_system": "tetragonal",
  "formation_enthalpy_0k_ev_per_atom": 0.08,
  "magnetic_moment_mub_per_fu": 0.72,
  "final_energy_ev_per_cell": -19.74,
  "polymorph_energy_mev_per_atom": 19.5
}